[1]
The following is a DFT calculation (PBE) of an optimized crystal structure of K3BeS3.

```
K3BeS3
1.0
5.995 0.000 0.000
-1.998 6.495 0.000
-1.998 -3.247 5.625
S K Be
3 3 1
Direct
0.455 0.000 0.310
0.145 0.690 0.690
0.455 0.310 0.000
0.006 0.000 0.456
0.006 0.456 0.000
0.550 0.544 0.544
0.358 0.000 0.000
```

## Properties
Energy relative to the lowest polymorph listed for this composition (meV/atom): 85
Volume (Å³/cell): 219.0
Magnetization (μB/atom): 0.150

***

[2]
The following is a DFT calculation (PBE) of an optimized crystal structure of Er3Mg4Cd4.

```
Er3Mg4Cd4
1.0
-2.577 -2.203 -0.336
1.204 -2.074 4.374
-10.162 7.815 9.362
Mg Cd Er
4 4 3
Direct
0.409 0.908 0.184
0.591 0.092 0.816
0.265 0.264 0.471
0.736 0.736 0.529
0.683 0.184 0.633
0.317 0.816 0.367
0.453 0.453 0.094
0.547 0.547 0.906
0.140 0.641 0.719
0.000 0.000 0.000
0.860 0.359 0.281
```

## Properties
E_form (eV per atom): -0.21
Volume (Å³/cell): 264.8
Magnetization (μB/atom): 0.000

***

[3]
The following is a DFT calculation (PBE) of an optimized crystal structure of Tb2Ho15Tm2.

```
Tb2Ho15Tm2
1.0
-6.459 -1.695 -5.488
-2.515 -7.756 2.868
-6.807 2.235 4.835
Ho Tm Tb
15 2 2
Direct
0.500 0.000 0.000
0.370 0.370 0.852
0.000 0.500 0.000
0.000 0.000 0.500
0.630 0.148 0.630
0.000 0.702 0.298
0.630 0.630 0.148
0.702 0.000 0.298
0.000 0.298 0.702
0.298 0.702 0.000
0.148 0.630 0.630
0.852 0.370 0.370
0.702 0.298 0.000
0.298 0.000 0.702
0.370 0.852 0.370
0.096 0.096 0.096
0.904 0.904 0.904
0.322 0.322 0.322
0.678 0.678 0.678
```

## Properties
E_form (eV per atom): 0.29
Volume (Å³/cell): 616.6
Magnetization (μB/atom): 0.000

***

[4]
The following is a DFT calculation (PBE) of an optimized crystal structure of TaCoRu4.

```
TaCoRu4
1.0
4.684 -1.870 -0.234
2.314 -1.545 4.213
0.795 -4.924 0.783
Ru Ta Co
4 1 1
Direct
0.877 0.374 0.374
0.374 0.374 0.877
0.374 0.877 0.374
0.374 0.374 0.374
0.750 0.750 0.750
0.000 0.000 0.000
```

## Properties
E_form (eV per atom): 0.29
Volume (Å³/cell): 91.0
Magnetization (μB/atom): 0.573